Entry 1:
VASP calculation (PBE) on Tb2HoPuSe4 after structural relaxation.

Output
Volume   194 Å³ per cell
Calculated total energy   -6.98 eV/atom
Fermi-level density of states   1.080 states/eV/atom
Formation energy (no corrections)   -13.8 eV per formula unit
Density   8.9 g cm⁻³
Total magnetization   5.9 μB per cell
Crystal system   monoclinic

Unit cell a=7.1015 b=4.0780 c=7.1031 alpha=90.00 beta=109.17 gamma=90.00
Space group P2/m (No. 10)
Asymmetric unit:
Tb 0.0000 0.0000 0.0000 [1 per cell]
Tb 0.0000 0.5000 0.5000 [1 per cell]
Ho 0.5000 0.0000 0.5000 [1 per cell]
Pu 0.5000 0.5000 0.0000 [1 per cell]
Se 0.2490 0.0000 0.7466 [2 per cell]
Se 0.2513 0.5000 0.2536 [2 per cell]



Entry 2:
VASP calculation (PBE) on TbHoPu2Se5 after structural relaxation.

Output
Volume   283 Å³ per cell
Calculated total energy   -7.30 eV/atom
Fermi-level density of states   3.489 states/eV/atom
Formation energy (no corrections)   -10.4 eV per formula unit
Density   7.1 g cm⁻³
Total magnetization   11.9 μB per cell
Crystal system   tetragonal

Unit cell a=5.1238 b=5.1238 c=10.7814 alpha=90.00 beta=90.00 gamma=90.00
Space group P4/mmm (No. 123)
Asymmetric unit:
Tb 0.0000 0.0000 0.0000 [1 per cell]
Ho 0.0000 0.0000 0.5000 [1 per cell]
Pu 0.5000 0.5000 0.3085 [2 per cell]
Se 0.0000 0.0000 0.2449 [2 per cell]
Se 0.0000 0.5000 0.5000 [2 per cell]
Se 0.5000 0.5000 0.0000 [1 per cell]



Entry 3:
VASP calculation (PBE) on Tb3HoPu2Se6 after structural relaxation.

Output
Volume   586 Å³ per cell
Calculated total energy   -7.38 eV/atom
Fermi-level density of states   1.541 states/eV/atom
Formation energy (no corrections)   -20.5 eV per formula unit
Density   9.1 g cm⁻³
Total magnetization   23.4 μB per cell
Crystal system   monoclinic

Unit cell a=17.8954 b=4.0876 c=8.2354 alpha=90.00 beta=103.48 gamma=90.00
Space group C2/m (No. 12)
Asymmetric unit:
Tb 0.0000 0.0000 0.0000 [2 per cell]
Tb 0.1679 0.5000 0.3335 [4 per cell]
Ho 0.0000 0.0000 0.5000 [2 per cell]
Pu 0.1658 0.5000 0.8332 [4 per cell]
Se 0.0019 0.5000 0.2534 [4 per cell]
Se 0.1652 0.0000 0.5799 [4 per cell]
Se 0.1663 0.0000 0.0850 [4 per cell]



Entry 4:
VASP calculation (PBE) on HoPuTeSe after structural relaxation.

Output
Volume   324 Å³ per cell
Calculated total energy   -7.81 eV/atom
Fermi-level density of states   2.220 states/eV/atom
Formation energy (no corrections)   -5.7 eV per formula unit
Density   9.5 g cm⁻³
Total magnetization   17.9 μB per cell
Crystal system   trigonal

Unit cell a=4.1948 b=4.1948 c=21.2363 alpha=90.00 beta=90.00 gamma=120.00
Space group R3m (No. 160, hexagonal axes)
Asymmetric unit:
Ho 0.0000 0.0000 0.0000 [3 per cell]
Pu 0.0000 0.0000 0.5165 [3 per cell]
Te 0.0000 0.0000 0.7558 [3 per cell]
Se 0.0000 0.0000 0.2606 [3 per cell]



Entry 5:
VASP calculation (PBE) on HoPuTe2Se after structural relaxation.

Output
Volume   288 Å³ per cell
Calculated total energy   -6.94 eV/atom
Fermi-level density of states   2.497 states/eV/atom
Formation energy (no corrections)   -6.0 eV per formula unit
Density   8.6 g cm⁻³
Total magnetization   10.3 μB per cell
Crystal system   tetragonal

Unit cell a=4.3254 b=4.3254 c=15.4182 alpha=90.00 beta=90.00 gamma=90.00
Space group P4/nmm (No. 129, origin choice 2)
Asymmetric unit:
Ho 0.2500 0.2500 0.0942 [2 per cell]
Pu 0.2500 0.2500 0.6305 [2 per cell]
Te 0.2500 0.2500 0.2911 [2 per cell]
Te 0.2500 0.2500 0.8916 [2 per cell]
Se 0.2500 0.7500 0.5000 [2 per cell]



Entry 6:
VASP calculation (PBE) on Ho3Pu2ThSe6 after structural relaxation.

Output
Volume   589 Å³ per cell
Calculated total energy   -7.54 eV/atom
Fermi-level density of states   1.542 states/eV/atom
Formation energy (no corrections)   -19.8 eV per formula unit
Density   9.5 g cm⁻³
Total magnetization   23.5 μB per cell
Crystal system   monoclinic

Unit cell a=17.9967 b=4.0681 c=8.3029 alpha=90.00 beta=104.42 gamma=90.00
Space group C2/m (No. 12)
Asymmetric unit:
Ho 0.0000 0.0000 0.0000 [2 per cell]
Ho 0.1662 0.5000 0.3330 [4 per cell]
Pu 0.1656 0.5000 0.8310 [4 per cell]
Th 0.0000 0.0000 0.5000 [2 per cell]
Se 0.0023 0.5000 0.2398 [4 per cell]
Se 0.1658 0.0000 0.0866 [4 per cell]
Se 0.1705 0.0000 0.5793 [4 per cell]



Entry 7:
VASP calculation (PBE) on Ho2PuThSe4 after structural relaxation.

Output
Volume   197 Å³ per cell
Calculated total energy   -7.24 eV/atom
Fermi-level density of states   1.270 states/eV/atom
Formation energy (no corrections)   -13.1 eV per formula unit
Density   9.5 g cm⁻³
Total magnetization   5.9 μB per cell
Crystal system   monoclinic

Unit cell a=7.0563 b=4.0451 c=7.2809 alpha=90.00 beta=108.57 gamma=90.00
Space group P2/m (No. 10)
Asymmetric unit:
Ho 0.0000 0.0000 0.0000 [1 per cell]
Ho 0.5000 0.5000 0.0000 [1 per cell]
Pu 0.0000 0.5000 0.5000 [1 per cell]
Th 0.5000 0.0000 0.5000 [1 per cell]
Se 0.2422 0.5000 0.2359 [2 per cell]
Se 0.2503 0.0000 0.7607 [2 per cell]



Entry 8:
VASP calculation (PBE) on HoPuTh2Se4 after structural relaxation.

Output
Volume   202 Å³ per cell
Calculated total energy   -7.55 eV/atom
Fermi-level density of states   1.223 states/eV/atom
Formation energy (no corrections)   -12.7 eV per formula unit
Density   9.8 g cm⁻³
Total magnetization   5.5 μB per cell
Crystal system   monoclinic

Unit cell a=7.0605 b=4.0823 c=7.3890 alpha=90.00 beta=108.63 gamma=90.00
Space group P2/m (No. 10)
Asymmetric unit:
Ho 0.0000 0.0000 0.0000 [1 per cell]
Pu 0.5000 0.5000 0.0000 [1 per cell]
Th 0.0000 0.5000 0.5000 [1 per cell]
Th 0.5000 0.0000 0.5000 [1 per cell]
Se 0.2420 0.5000 0.2356 [2 per cell]
Se 0.2514 0.0000 0.7632 [2 per cell]



Entry 9:
VASP calculation (PBE) on HoPu3Tl3Se8 after structural relaxation.

Output
Volume   1410 Å³ per cell
Calculated total energy   -6.72 eV/atom
Fermi-level density of states   2.074 states/eV/atom
Formation energy (no corrections)   -18.2 eV per formula unit
Density   7.6 g cm⁻³
Total magnetization   42.0 μB per cell
Crystal system   trigonal

Unit cell a=8.3742 b=8.3742 c=23.2088 alpha=90.00 beta=90.00 gamma=120.00
Space group R-3m (No. 166, hexagonal axes)
Asymmetric unit:
Ho 0.0000 0.0000 0.0000 [3 per cell]
Pu 0.0000 0.5000 0.0000 [9 per cell]
Tl 0.0000 0.5000 0.5000 [9 per cell]
Se 0.0000 0.0000 0.2658 [6 per cell]
Se 0.0000 0.5000 0.2663 [18 per cell]



Entry 10:
VASP calculation (PBE) on HoPu2Tl3Se6 after structural relaxation.

Output
Volume   715 Å³ per cell
Calculated total energy   -6.30 eV/atom
Fermi-level density of states   1.817 states/eV/atom
Formation energy (no corrections)   -14.3 eV per formula unit
Density   8.1 g cm⁻³
Total magnetization   20.0 μB per cell
Crystal system   monoclinic

Unit cell a=7.3067 b=12.6533 c=8.1042 alpha=90.00 beta=107.47 gamma=90.00
Space group C2/m (No. 12)
Asymmetric unit:
Ho 0.0000 0.0000 0.0000 [2 per cell]
Pu 0.0000 0.3335 0.0000 [4 per cell]
Tl 0.0000 0.1676 0.5000 [4 per cell]
Tl 0.0000 0.5000 0.5000 [2 per cell]
Se 0.2331 0.1653 0.2035 [8 per cell]
Se 0.2376 0.5000 0.2044 [4 per cell]



Entry 11:
VASP calculation (PBE) on HoPuTl2Se4 after structural relaxation.

Output
Volume   238 Å³ per cell
Calculated total energy   -5.93 eV/atom
Fermi-level density of states   1.509 states/eV/atom
Formation energy (no corrections)   -9.9 eV per formula unit
Density   7.9 g cm⁻³
Total magnetization   5.0 μB per cell
Crystal system   monoclinic

Unit cell a=7.3028 b=4.2080 c=8.1047 alpha=90.00 beta=107.44 gamma=90.00
Space group P2/m (No. 10)
Asymmetric unit:
Ho 0.0000 0.0000 0.0000 [1 per cell]
Pu 0.5000 0.5000 0.0000 [1 per cell]
Tl 0.0000 0.5000 0.5000 [1 per cell]
Tl 0.5000 0.0000 0.5000 [1 per cell]
Se 0.2300 0.5000 0.2042 [2 per cell]
Se 0.2623 0.0000 0.7965 [2 per cell]



Entry 12:
VASP calculation (PBE) on Ho3PuTl4Se8 after structural relaxation.

Output
Volume   1415 Å³ per cell
Calculated total energy   -5.39 eV/atom
Fermi-level density of states   0.772 states/eV/atom
Formation energy (no corrections)   -20.9 eV per formula unit
Density   7.7 g cm⁻³
Total magnetization   15.0 μB per cell
Crystal system   trigonal

Unit cell a=8.3808 b=8.3808 c=23.2569 alpha=90.00 beta=90.00 gamma=120.00
Space group R-3m (No. 166, hexagonal axes)
Asymmetric unit:
Ho 0.0000 0.5000 0.0000 [9 per cell]
Pu 0.0000 0.0000 0.0000 [3 per cell]
Tl 0.0000 0.0000 0.5000 [3 per cell]
Tl 0.0000 0.5000 0.5000 [9 per cell]
Se 0.0000 0.0000 0.2656 [6 per cell]
Se 0.0043 0.5022 0.2653 [18 per cell]



- Among the records above, which one has the highest formation energy (no corrections)?
  HoPuTeSe



- formation energy (no corrections) of number 5 (HoPuTe2Se)?
  -6.0 eV per formula unit



Copy entry 8 word for word.
VASP calculation (PBE) on HoPuTh2Se4 after structural relaxation.

Output
Volume   202 Å³ per cell
Calculated total energy   -7.55 eV/atom
Fermi-level density of states   1.223 states/eV/atom
Formation energy (no corrections)   -12.7 eV per formula unit
Density   9.8 g cm⁻³
Total magnetization   5.5 μB per cell
Crystal system   monoclinic

Unit cell a=7.0605 b=4.0823 c=7.3890 alpha=90.00 beta=108.63 gamma=90.00
Space group P2/m (No. 10)
Asymmetric unit:
Ho 0.0000 0.0000 0.0000 [1 per cell]
Pu 0.5000 0.5000 0.0000 [1 per cell]
Th 0.0000 0.5000 0.5000 [1 per cell]
Th 0.5000 0.0000 0.5000 [1 per cell]
Se 0.2420 0.5000 0.2356 [2 per cell]
Se 0.2514 0.0000 0.7632 [2 per cell]